Model 1:
First-principles (PBE) data for TbMoPd after structural relaxation, as listed in OQMD.

Values from the calculation:
Symmetry   No. 189

Geometry as POSCAR:
```
TbMoPd
1.0
7.965 0.000 0.000
-3.983 6.898 0.000
0.000 0.000 3.027
Pd Tb Mo
3 3 3
Direct
0.716 0.049 0.500 Pd
0.951 0.667 0.500 Pd
0.333 0.284 0.500 Pd
0.334 0.963 0.000 Tb
0.037 0.371 0.000 Tb
0.629 0.666 0.000 Tb
0.000 0.000 0.000 Mo
0.667 0.333 0.000 Mo
0.333 0.667 0.500 Mo
```

=====

Model 2:
First-principles (PBE) data for TbMoPd after structural relaxation, as listed in OQMD.

Values from the calculation:
Symmetry   No. 216

Geometry as POSCAR:
```
TbMoPd
1.0
0.000 3.225 3.225
3.225 0.000 3.225
3.225 3.225 0.000
Pd Mo Tb
1 1 1
Direct
0.000 0.000 0.000 Pd
0.250 0.250 0.250 Mo
0.750 0.750 0.750 Tb
```

=====

So which one is most stable? That would be model 1, about 85 meV per atom below the next structure.

=====

Model 1:
First-principles (PBE) data for UMoPd after structural relaxation, as listed in OQMD.

Values from the calculation:
Symmetry   No. 216

Geometry as POSCAR:
```
UMoPd
1.0
-1.066 1.632 3.955
-4.229 0.723 1.020
-2.020 -2.558 2.970
U Pd Mo
1 1 1
Direct
0.750 0.750 0.750 U
0.250 0.250 0.250 Pd
0.000 0.000 0.000 Mo
```

=====

Model 2:
First-principles (PBE) data for UMoPd after structural relaxation, as listed in OQMD.

Values from the calculation:
Symmetry   No. 216

Geometry as POSCAR:
```
UMoPd
1.0
0.524 -4.098 -1.662
-2.745 -1.481 -3.179
1.496 -0.541 -4.159
U Mo Pd
1 1 1
Direct
0.000 0.000 0.000 U
0.250 0.250 0.250 Mo
0.750 0.750 0.750 Pd
```

=====

So which one is most stable? That would be model 1, about 137 meV per atom below the next structure.

=====

Model 1:
First-principles (PBE) data for PmMoPt after structural relaxation, as listed in OQMD.

Values from the calculation:
Symmetry   No. 216

Geometry as POSCAR:
```
PmMoPt
1.0
-0.261 1.179 4.490
-1.109 4.353 1.200
-4.133 0.898 1.931
Pm Pt Mo
1 1 1
Direct
0.750 0.750 0.750 Pm
0.000 0.000 0.000 Pt
0.250 0.250 0.250 Mo
```

=====

Model 2:
First-principles (PBE) data for PmMoPt after structural relaxation, as listed in OQMD.

Values from the calculation:
Symmetry   No. 216

Geometry as POSCAR:
```
PmMoPt
1.0
0.000 3.304 3.304
3.304 0.000 3.304
3.304 3.304 0.000
Pm Pt Mo
1 1 1
Direct
0.250 0.250 0.250 Pm
0.000 0.000 0.000 Pt
0.500 0.500 0.500 Mo
```

=====

So which one is most stable? That would be model 1, about 553 meV per atom below the next structure.